No. 1
20
Lattice="4.593 -7.668 0.000 4.593 7.668 0.000 -1.515 0.000 9.748" Properties=species:S:1:pos:R:3 comment="Pm6Pr2HoEr, relaxed, DFT PBE-GGA" formation_enthalpy_0k_kcal_per_mol_atoms=2.7 spacegroup="No. 15" n_ef_per_ev_cell=29.00 pbc="T T T"
Pm 2.439 4.284 1.849
Pm 3.174 4.802 5.419
Pm 3.740 4.802 9.202
Pm 3.062 1.600 3.707
Pm 5.989 4.284 3.025
Pm 2.305 -1.600 8.580
Pm 5.365 1.600 1.167
Pm 1.682 -4.284 6.723
Pm 4.608 -1.600 6.041
Pm 3.931 -4.802 0.545
Pm 4.497 -4.802 4.328
Pm 5.232 -4.284 7.898
Pr 2.190 0.778 0.407
Pr 1.433 -0.778 5.281
Pr 6.238 0.778 4.467
Pr 5.480 -0.778 9.341
Ho 4.214 7.389 2.437
Ho 3.457 -7.389 7.311
Er 3.457 1.419 7.311
Er 4.214 -1.419 2.437

=====

No. 2
8
Lattice="5.167 0.000 0.000 0.000 5.198 0.000 -0.015 0.000 10.218" Properties=species:S:1:pos:R:3 comment="Pm2Pr4HoEr, relaxed, DFT PBE-GGA" formation_enthalpy_0k_kcal_per_mol_atoms=0.3 spacegroup="No. 10" n_ef_per_ev_cell=10.97 pbc="T T T"
Pm 0.000 0.000 0.000
Pm 2.576 2.599 5.109
Pr 5.161 2.599 2.546
Pr -0.008 2.599 7.672
Pr 2.579 0.000 2.557
Pr 2.573 0.000 7.661
Ho -0.007 0.000 5.109
Er 2.583 2.599 0.000

=====

No. 3
12
Lattice="3.151 -5.458 0.000 3.151 5.458 0.000 -2.094 0.000 11.692" Properties=species:S:1:pos:R:3 comment="PmPr6Ho2Er3, relaxed, DFT PBE-GGA" formation_enthalpy_0k_kcal_per_mol_atoms=0.3 spacegroup="No. 12" n_ef_per_ev_cell=13.09 pbc="T T T"
Pm 0.000 0.000 0.000
Pr 1.056 1.822 2.944
Pr 0.006 0.000 8.749
Pr 1.056 -1.822 2.944
Pr 3.152 1.822 8.748
Pr 4.203 0.000 2.943
Pr 3.152 -1.822 8.748
Ho 3.151 1.818 0.000
Ho 3.151 -1.818 0.000
Er 2.104 3.637 5.846
Er 2.104 0.000 5.846
Er 2.104 -3.637 5.846

=====

No. 4
12
Lattice="7.029 0.000 0.000 0.000 5.701 0.000 0.000 0.000 9.909" Properties=species:S:1:pos:R:3 comment="PmPr2Ho2Er, relaxed, DFT PBE-GGA" formation_enthalpy_0k_kcal_per_mol_atoms=1.6 spacegroup="No. 51" n_ef_per_ev_cell=17.81 pbc="T T T"
Pm 0.000 0.000 0.000
Pm 3.514 0.000 0.000
Pr 0.000 2.851 4.955
Pr 1.757 0.000 3.261
Pr 3.514 2.851 4.955
Pr 5.272 0.000 6.648
Ho 1.757 0.000 6.597
Ho 1.757 2.851 1.650
Ho 5.272 0.000 3.312
Ho 5.272 2.851 8.259
Er 1.757 2.851 8.290
Er 5.272 2.851 1.620

=====

No. 5
16
Lattice="6.825 -6.630 0.000 6.825 6.630 0.000 -3.395 0.000 5.901" Properties=species:S:1:pos:R:3 comment="Pm2PrHo4Er, relaxed, DFT PBE-GGA" formation_enthalpy_0k_kcal_per_mol_atoms=9.6 spacegroup="No. 15" n_ef_per_ev_cell=38.49 pbc="T T T"
Pm 0.000 0.000 0.000
Pm -1.698 0.000 2.951
Pm 3.412 3.315 0.000
Pm 1.715 -3.315 2.951
Pr 1.715 3.315 2.951
Pr 3.412 -3.315 0.000
Ho 3.451 0.001 0.032
Ho 1.753 -0.001 2.983
Ho 6.824 3.254 0.003
Ho 5.128 3.254 2.948
Ho 3.430 -3.254 5.899
Ho 5.126 -3.254 2.953
Ho 8.501 0.001 2.919
Ho 6.803 -0.001 5.870
Er 6.825 0.000 0.000
Er 5.127 0.000 2.951

=====

No. 6
12
Lattice="3.111 -5.387 0.000 3.111 5.387 0.000 -2.067 0.000 11.594" Properties=species:S:1:pos:R:3 comment="Pm2Pr3HoEr6, relaxed, DFT PBE-GGA" formation_enthalpy_0k_kcal_per_mol_atoms=0.4 spacegroup="No. 12" n_ef_per_ev_cell=13.63 pbc="T T T"
Pm 3.111 3.594 0.000
Pm 3.111 -3.594 0.000
Pr -1.033 0.000 5.797
Pr 2.078 1.796 5.797
Pr 2.078 -1.796 5.797
Ho 3.111 0.000 0.000
Er 0.006 1.794 8.725
Er 1.043 0.000 2.871
Er 0.006 -1.794 8.725
Er 4.150 1.794 2.869
Er 3.113 0.000 8.723
Er 4.150 -1.794 2.869

=====

No. 7
16
Lattice="6.801 -6.621 0.000 6.801 6.621 0.000 -3.391 0.000 5.885" Properties=species:S:1:pos:R:3 comment="PmPrHo4Er2, relaxed, DFT PBE-GGA" formation_enthalpy_0k_kcal_per_mol_atoms=9.9 spacegroup="No. 15" n_ef_per_ev_cell=35.74 pbc="T T T"
Pm 3.400 3.310 0.000
Pm 1.705 -3.310 2.943
Pr 0.000 0.000 0.000
Pr -1.695 0.000 2.943
Ho 1.745 0.032 2.979
Ho 5.101 3.251 2.950
Ho 3.414 3.251 5.878
Ho 3.441 -0.032 0.036
Ho 6.770 0.032 5.849
Ho 6.797 -3.251 0.008
Ho 5.109 -3.251 2.935
Ho 8.465 -0.032 2.906
Er 1.705 3.310 2.943
Er 3.400 -3.310 0.000
Er 6.801 0.000 0.000
Er 5.105 0.000 2.943

=====

No. 8
4
Lattice="0.000 4.051 4.051 4.051 0.000 4.051 4.051 4.051 0.000" Properties=species:S:1:pos:R:3 comment="PmPrHoEr, relaxed, DFT PBE-GGA" formation_enthalpy_0k_kcal_per_mol_atoms=2.5 spacegroup="No. 216" n_ef_per_ev_cell=7.35 pbc="T T T"
Pm 0.000 0.000 0.000
Pr 4.051 4.051 4.051
Ho 2.026 2.026 2.026
Er 6.077 6.077 6.077